No. 1
# TlSiMo2 GGA-PBEsol optimized geometry
data_TlSiMo2
_chemical_formula_sum 'Tl2 Si2 Mo4'
_cell_length_a 8.6965
_cell_length_b 3.1623
_cell_length_c 5.1254
_cell_angle_alpha 90.00
_cell_angle_beta 101.08
_cell_angle_gamma 90.00
_symmetry_space_group_name_H-M 'C 1 2/m 1'
_symmetry_Int_Tables_number 12
loop_
_symmetry_equiv_pos_as_xyz
'x,y,z'
'-x,-y,-z'
'-x,y,-z'
'x,-y,z'
'x+1/2,y+1/2,z'
'-x+1/2,-y+1/2,-z'
'-x+1/2,y+1/2,-z'
'x+1/2,-y+1/2,z'
loop_
_atom_site_label
_atom_site_type_symbol
_atom_site_fract_x
_atom_site_fract_y
_atom_site_fract_z
Tl1 Tl 0.0000 0.0000 0.0000
Si1 Si 0.0000 0.5000 0.5000
Mo1 Mo 0.2406 0.0000 0.6866
# * total energy: -7.580 eV per atom
# * magnetic moment: 0.0 Bohr magnetons per cell
# * formation energy from raw total energies: 398 meV per atom

***

No. 2
# TlSiMo2 GGA-PBEsol optimized geometry
data_TlSiMo2
_chemical_formula_sum 'Tl1 Si1 Mo2'
_cell_length_a 3.2430
_cell_length_b 4.3328
_cell_length_c 4.6937
_cell_angle_alpha 90.00
_cell_angle_beta 90.00
_cell_angle_gamma 90.00
_symmetry_space_group_name_H-M 'P m m m'
_symmetry_Int_Tables_number 47
loop_
_symmetry_equiv_pos_as_xyz
'x,y,z'
'-x,-y,-z'
'-x,-y,z'
'x,y,-z'
'x,-y,-z'
'-x,y,z'
'-x,y,-z'
'x,-y,z'
loop_
_atom_site_label
_atom_site_type_symbol
_atom_site_fract_x
_atom_site_fract_y
_atom_site_fract_z
Tl1 Tl 0.0000 0.0000 0.0000
Si1 Si 0.5000 0.0000 0.5000
Mo1 Mo 0.0000 0.5000 0.5000
Mo2 Mo 0.5000 0.5000 0.0000
# * total energy: -7.421 eV per atom
# * magnetic moment: 0.0 Bohr magnetons per cell
# * formation energy from raw total energies: 557 meV per atom

***

No. 3
# TlSiMo GGA-PBEsol optimized geometry
data_TlSiMo
_chemical_formula_sum 'Tl4 Si4 Mo4'
_cell_length_a 6.0552
_cell_length_b 6.0552
_cell_length_c 6.0552
_cell_angle_alpha 90.00
_cell_angle_beta 90.00
_cell_angle_gamma 90.00
_symmetry_space_group_name_H-M 'F -4 3 m'
_symmetry_Int_Tables_number 216
_symmetry_space_group_name_Hall 'F -4 2 3'
loop_
_atom_site_label
_atom_site_type_symbol
_atom_site_fract_x
_atom_site_fract_y
_atom_site_fract_z
Tl1 Tl 0.0000 0.0000 0.0000
Si1 Si 0.2500 0.2500 0.2500
Mo1 Mo 0.0000 0.0000 0.5000
# * total energy: -5.967 eV per atom
# * magnetic moment: 0.0 Bohr magnetons per cell
# * formation energy from raw total energies: 748 meV per atom

***

No. 4
# VSi3Mo4 GGA-PBEsol optimized geometry
data_VSi3Mo4
_chemical_formula_sum 'V4 Si12 Mo16'
_cell_length_a 9.5683
_cell_length_b 9.5683
_cell_length_c 4.7854
_cell_angle_alpha 90.00
_cell_angle_beta 90.00
_cell_angle_gamma 90.00
_symmetry_space_group_name_H-M 'I 4/m c m'
_symmetry_Int_Tables_number 140
_symmetry_space_group_name_Hall '-I 4 2c'
loop_
_atom_site_label
_atom_site_type_symbol
_atom_site_fract_x
_atom_site_fract_y
_atom_site_fract_z
V1 V 0.0000 0.5000 0.2500
Si1 Si 0.0000 0.0000 0.2500
Si2 Si 0.1630 0.3370 0.0000
Mo1 Mo 0.0781 0.2261 0.5000
# * total energy: -9.771 eV per atom
# * magnetic moment: 0.0 Bohr magnetons per cell
# * formation energy from raw total energies: -528 meV per atom

***

No. 5
# SiMo2W GGA-PBEsol optimized geometry
data_SiMo2W
_chemical_formula_sum 'Si1 Mo2 W1'
_cell_length_a 2.7111
_cell_length_b 4.3293
_cell_length_c 5.1832
_cell_angle_alpha 90.00
_cell_angle_beta 104.79
_cell_angle_gamma 90.00
_symmetry_space_group_name_H-M 'P 1 m 1'
_symmetry_Int_Tables_number 6
loop_
_symmetry_equiv_pos_as_xyz
'x,y,z'
'x,-y,z'
loop_
_atom_site_label
_atom_site_type_symbol
_atom_site_fract_x
_atom_site_fract_y
_atom_site_fract_z
Si1 Si 0.0000 0.0000 0.0000
Mo1 Mo 0.2588 0.5000 0.7591
Mo2 Mo 0.4862 0.0000 0.5017
W1 W 0.7155 0.5000 0.2464
# * total energy: -10.781 eV per atom
# * magnetic moment: 0.0 Bohr magnetons per cell
# * formation energy from raw total energies: -9 meV per atom

***

No. 6
# Si4MoW GGA-PBEsol optimized geometry
data_Si4MoW
_chemical_formula_sum 'Si4 Mo1 W1'
_cell_length_a 3.1963
_cell_length_b 3.1963
_cell_length_c 7.8133
_cell_angle_alpha 90.00
_cell_angle_beta 90.00
_cell_angle_gamma 90.00
_symmetry_space_group_name_H-M 'P 4/m m m'
_symmetry_Int_Tables_number 123
_symmetry_space_group_name_Hall '-P 4 2'
loop_
_atom_site_label
_atom_site_type_symbol
_atom_site_fract_x
_atom_site_fract_y
_atom_site_fract_z
Si1 Si 0.0000 0.0000 0.1645
Si2 Si 0.5000 0.5000 0.3342
Mo1 Mo 0.5000 0.5000 0.0000
W1 W 0.0000 0.0000 0.5000
# * total energy: -8.619 eV per atom
# * magnetic moment: 0.0 Bohr magnetons per cell
# * formation energy from raw total energies: -525 meV per atom

***

No. 7
# SiMoW2 GGA-PBEsol optimized geometry
data_SiMoW2
_chemical_formula_sum 'Si1 Mo1 W2'
_cell_length_a 2.7355
_cell_length_b 4.2111
_cell_length_c 5.1926
_cell_angle_alpha 90.00
_cell_angle_beta 90.00
_cell_angle_gamma 90.00
_symmetry_space_group_name_H-M 'P m m 2'
_symmetry_Int_Tables_number 25
loop_
_symmetry_equiv_pos_as_xyz
'x,y,z'
'-x,-y,z'
'-x,y,z'
'x,-y,z'
loop_
_atom_site_label
_atom_site_type_symbol
_atom_site_fract_x
_atom_site_fract_y
_atom_site_fract_z
Si1 Si 0.0000 0.0000 0.0000
Mo1 Mo 0.5000 0.5000 0.7632
W1 W 0.0000 0.0000 0.5011
W2 W 0.5000 0.5000 0.2451
# * total energy: -11.183 eV per atom
# * magnetic moment: 0.0 Bohr magnetons per cell
# * formation energy from raw total energies: 100 meV per atom

***

No. 8
# SiMoW2 GGA-PBEsol optimized geometry
data_SiMoW2
_chemical_formula_sum 'Si2 Mo2 W4'
_cell_length_a 5.6747
_cell_length_b 6.5780
_cell_length_c 3.1638
_cell_angle_alpha 90.00
_cell_angle_beta 90.00
_cell_angle_gamma 90.00
_symmetry_space_group_name_H-M 'C m m m'
_symmetry_Int_Tables_number 65
_symmetry_space_group_name_Hall '-C 2 2'
loop_
_atom_site_label
_atom_site_type_symbol
_atom_site_fract_x
_atom_site_fract_y
_atom_site_fract_z
Si1 Si 0.0000 0.0000 0.0000
Mo1 Mo 0.0000 0.5000 0.0000
W1 W 0.2500 0.2500 0.5000
# * total energy: -11.170 eV per atom
# * magnetic moment: 0.0 Bohr magnetons per cell
# * formation energy from raw total energies: 113 meV per atom

***

No. 9
# Si2MoW GGA-PBEsol optimized geometry
data_Si2MoW
_chemical_formula_sum 'Si2 Mo1 W1'
_cell_length_a 3.1577
_cell_length_b 3.1577
_cell_length_c 5.5424
_cell_angle_alpha 90.00
_cell_angle_beta 90.00
_cell_angle_gamma 90.00
_symmetry_space_group_name_H-M 'P 4 m m'
_symmetry_Int_Tables_number 99
loop_
_symmetry_equiv_pos_as_xyz
'x,y,z'
'-y,x,z'
'-x,-y,z'
'y,-x,z'
'-x,y,z'
'y,x,z'
'x,-y,z'
'-y,-x,z'
loop_
_atom_site_label
_atom_site_type_symbol
_atom_site_fract_x
_atom_site_fract_y
_atom_site_fract_z
Si1 Si 0.0000 0.0000 0.0000
Si2 Si 0.5000 0.5000 0.2505
Mo1 Mo 0.5000 0.5000 0.7757
W1 W 0.0000 0.0000 0.4781
# * total energy: -9.672 eV per atom
# * magnetic moment: 0.0 Bohr magnetons per cell
# * formation energy from raw total energies: -405 meV per atom

***

No. 10
# Si2MoW GGA-PBEsol optimized geometry
data_Si2MoW
_chemical_formula_sum 'Si4 Mo2 W2'
_cell_length_a 8.5648
_cell_length_b 2.6747
_cell_length_c 5.1629
_cell_angle_alpha 90.00
_cell_angle_beta 103.85
_cell_angle_gamma 90.00
_symmetry_space_group_name_H-M 'C 1 2/m 1'
_symmetry_Int_Tables_number 12
loop_
_symmetry_equiv_pos_as_xyz
'x,y,z'
'-x,-y,-z'
'-x,y,-z'
'x,-y,z'
'x+1/2,y+1/2,z'
'-x+1/2,-y+1/2,-z'
'-x+1/2,y+1/2,-z'
'x+1/2,-y+1/2,z'
loop_
_atom_site_label
_atom_site_type_symbol
_atom_site_fract_x
_atom_site_fract_y
_atom_site_fract_z
Si1 Si 0.2504 0.0000 0.2501
Mo1 Mo 0.0000 0.0000 0.5000
W1 W 0.0000 0.5000 0.0000
# * total energy: -9.264 eV per atom
# * magnetic moment: 0.0 Bohr magnetons per cell
# * formation energy from raw total energies: 4 meV per atom

***

No. 11
# Si2MoW GGA-PBEsol optimized geometry
data_Si2MoW
_chemical_formula_sum 'Si6 Mo3 W3'
_cell_length_a 2.8966
_cell_length_b 2.8966
_cell_length_c 24.2869
_cell_angle_alpha 90.00
_cell_angle_beta 90.00
_cell_angle_gamma 120.00
_symmetry_space_group_name_H-M 'R 3 m'
_symmetry_Int_Tables_number 160
_symmetry_space_group_name_Hall 'R 3 -2"'
loop_
_atom_site_label
_atom_site_type_symbol
_atom_site_fract_x
_atom_site_fract_y
_atom_site_fract_z
Si1 Si 0.0000 0.0000 0.0000
Si2 Si 0.0000 0.0000 0.2486
Mo1 Mo 0.0000 0.0000 0.5024
W1 W 0.0000 0.0000 0.7476
# * total energy: -9.241 eV per atom
# * magnetic moment: 0.0 Bohr magnetons per cell
# * formation energy from raw total energies: 26 meV per atom

***

No. 12
# SiMoW2 GGA-PBEsol optimized geometry
data_SiMoW2
_chemical_formula_sum 'Si2 Mo2 W4'
_cell_length_a 3.1465
_cell_length_b 4.2580
_cell_length_c 8.7529
_cell_angle_alpha 90.00
_cell_angle_beta 90.00
_cell_angle_gamma 90.00
_symmetry_space_group_name_H-M 'I m m m'
_symmetry_Int_Tables_number 71
_symmetry_space_group_name_Hall '-I 2 2'
loop_
_atom_site_label
_atom_site_type_symbol
_atom_site_fract_x
_atom_site_fract_y
_atom_site_fract_z
Si1 Si 0.0000 0.0000 0.0000
Mo1 Mo 0.0000 0.0000 0.5000
W1 W 0.0000 0.5000 0.2480
# * total energy: -11.351 eV per atom
# * magnetic moment: 0.0 Bohr magnetons per cell
# * formation energy from raw total energies: -69 meV per atom

***

No. 13
# Si2MoW GGA-PBEsol optimized geometry
data_Si2MoW
_chemical_formula_sum 'Si4 Mo2 W2'
_cell_length_a 3.2227
_cell_length_b 4.3300
_cell_length_c 8.3569
_cell_angle_alpha 90.00
_cell_angle_beta 90.00
_cell_angle_gamma 90.00
_symmetry_space_group_name_H-M 'C m m 2'
_symmetry_Int_Tables_number 35
loop_
_symmetry_equiv_pos_as_xyz
'x,y,z'
'-x,-y,z'
'-x,y,z'
'x,-y,z'
'x+1/2,y+1/2,z'
'-x+1/2,-y+1/2,z'
'-x+1/2,y+1/2,z'
'x+1/2,-y+1/2,z'
loop_
_atom_site_label
_atom_site_type_symbol
_atom_site_fract_x
_atom_site_fract_y
_atom_site_fract_z
Si1 Si 0.0000 0.0000 0.0000
Si2 Si 0.0000 0.5000 0.2562
Mo1 Mo 0.0000 0.0000 0.4948
W1 W 0.0000 0.5000 0.7592
# * total energy: -9.150 eV per atom
# * magnetic moment: 0.0 Bohr magnetons per cell
# * formation energy from raw total energies: 118 meV per atom

***

No. 14
# Si2MoW GGA-PBEsol optimized geometry
data_Si2MoW
_chemical_formula_sum 'Si4 Mo2 W2'
_cell_length_a 3.7592
_cell_length_b 3.7592
_cell_length_c 7.9088
_cell_angle_alpha 90.00
_cell_angle_beta 90.00
_cell_angle_gamma 90.00
_symmetry_space_group_name_H-M 'I -4 m 2'
_symmetry_Int_Tables_number 119
_symmetry_space_group_name_Hall 'I -4 -2'
loop_
_atom_site_label
_atom_site_type_symbol
_atom_site_fract_x
_atom_site_fract_y
_atom_site_fract_z
Si1 Si 0.0000 0.0000 0.0000
Si2 Si 0.0000 0.5000 0.2500
Mo1 Mo 0.0000 0.5000 0.7500
W1 W 0.0000 0.0000 0.5000
# * total energy: -9.282 eV per atom
# * magnetic moment: 0.0 Bohr magnetons per cell
# * formation energy from raw total energies: -15 meV per atom

***

No. 15
# YSi2Mo GGA-PBEsol optimized geometry
data_YSi2Mo
_chemical_formula_sum 'Y4 Si8 Mo4'
_cell_length_a 6.4119
_cell_length_b 6.4119
_cell_length_c 6.4119
_cell_angle_alpha 90.00
_cell_angle_beta 90.00
_cell_angle_gamma 90.00
_symmetry_space_group_name_H-M 'F -4 3 m'
_symmetry_Int_Tables_number 216
_symmetry_space_group_name_Hall 'F -4 2 3'
loop_
_atom_site_label
_atom_site_type_symbol
_atom_site_fract_x
_atom_site_fract_y
_atom_site_fract_z
Y1 Y 0.0000 0.0000 0.0000
Si1 Si 0.0000 0.0000 0.5000
Si2 Si 0.2500 0.2500 0.7500
Mo1 Mo 0.2500 0.2500 0.2500
# * total energy: -7.304 eV per atom
# * magnetic moment: 0.0 Bohr magnetons per cell
# * formation energy from raw total energies: 217 meV per atom

***

No. 16
# Y2Si4Mo3 GGA-PBEsol optimized geometry
data_Y2Si4Mo3
_chemical_formula_sum 'Y4 Si8 Mo6'
_cell_length_a 6.7945
_cell_length_b 6.8537
_cell_length_c 6.6952
_cell_angle_alpha 90.00
_cell_angle_beta 108.97
_cell_angle_gamma 90.00
_symmetry_space_group_name_H-M 'P 1 21/c 1'
_symmetry_Int_Tables_number 14
loop_
_symmetry_equiv_pos_as_xyz
'x,y,z'
'-x,-y,-z'
'-x,y+1/2,-z+1/2'
'x,-y+1/2,z+1/2'
loop_
_atom_site_label
_atom_site_type_symbol
_atom_site_fract_x
_atom_site_fract_y
_atom_site_fract_z
Y1 Y 0.1902 0.1694 0.0616
Si1 Si 0.0900 0.5447 0.8680
Si2 Si 0.4959 0.6317 0.6284
Mo1 Mo 0.2504 0.6629 0.2486
Mo2 Mo 0.5000 0.0000 0.5000
# * total energy: -8.732 eV per atom
# * magnetic moment: 0.0 Bohr magnetons per cell
# * formation energy from raw total energies: -739 meV per atom

***

No. 17
# Y2SiMo GGA-PBEsol optimized geometry
data_Y2SiMo
_chemical_formula_sum 'Y2 Si1 Mo1'
_cell_length_a 3.3769
_cell_length_b 3.3769
_cell_length_c 7.6983
_cell_angle_alpha 90.00
_cell_angle_beta 90.00
_cell_angle_gamma 90.00
_symmetry_space_group_name_H-M 'P 4 m m'
_symmetry_Int_Tables_number 99
loop_
_symmetry_equiv_pos_as_xyz
'x,y,z'
'-y,x,z'
'-x,-y,z'
'y,-x,z'
'-x,y,z'
'y,x,z'
'x,-y,z'
'-y,-x,z'
loop_
_atom_site_label
_atom_site_type_symbol
_atom_site_fract_x
_atom_site_fract_y
_atom_site_fract_z
Y1 Y 0.0000 0.0000 0.0000
Y2 Y 0.5000 0.5000 0.3856
Si1 Si 0.5000 0.5000 0.7646
Mo1 Mo 0.0000 0.0000 0.6428
# * total energy: -8.000 eV per atom
# * magnetic moment: 0.0 Bohr magnetons per cell
# * formation energy from raw total energies: -210 meV per atom

***

No. 18
# YSi2Mo GGA-PBEsol optimized geometry
data_YSi2Mo
_chemical_formula_sum 'Y1 Si2 Mo1'
_cell_length_a 3.2051
_cell_length_b 3.2051
_cell_length_c 6.5572
_cell_angle_alpha 90.00
_cell_angle_beta 90.00
_cell_angle_gamma 90.00
_symmetry_space_group_name_H-M 'P 4/m m m'
_symmetry_Int_Tables_number 123
_symmetry_space_group_name_Hall '-P 4 2'
loop_
_atom_site_label
_atom_site_type_symbol
_atom_site_fract_x
_atom_site_fract_y
_atom_site_fract_z
Y1 Y 0.0000 0.0000 0.0000
Si1 Si 0.5000 0.5000 0.3077
Mo1 Mo 0.0000 0.0000 0.5000
# * total energy: -7.968 eV per atom
# * magnetic moment: 0.0 Bohr magnetons per cell
# * formation energy from raw total energies: -447 meV per atom

***

No. 19
# YSi2Mo GGA-PBEsol optimized geometry
data_YSi2Mo
_chemical_formula_sum 'Y1 Si2 Mo1'
_cell_length_a 3.6947
_cell_length_b 4.0636
_cell_length_c 4.4727
_cell_angle_alpha 90.00
_cell_angle_beta 90.00
_cell_angle_gamma 90.00
_symmetry_space_group_name_H-M 'P m m m'
_symmetry_Int_Tables_number 47
loop_
_symmetry_equiv_pos_as_xyz
'x,y,z'
'-x,-y,-z'
'-x,-y,z'
'x,y,-z'
'x,-y,-z'
'-x,y,z'
'-x,y,-z'
'x,-y,z'
loop_
_atom_site_label
_atom_site_type_symbol
_atom_site_fract_x
_atom_site_fract_y
_atom_site_fract_z
Y1 Y 0.0000 0.0000 0.0000
Si1 Si 0.0000 0.5000 0.5000
Si2 Si 0.5000 0.5000 0.0000
Mo1 Mo 0.5000 0.0000 0.5000
# * total energy: -7.620 eV per atom
# * magnetic moment: 0.0 Bohr magnetons per cell
# * formation energy from raw total energies: -99 meV per atom

***

No. 20
# YSi2Mo GGA-PBEsol optimized geometry
data_YSi2Mo
_chemical_formula_sum 'Y2 Si4 Mo2'
_cell_length_a 3.9089
_cell_length_b 3.9089
_cell_length_c 8.8543
_cell_angle_alpha 90.00
_cell_angle_beta 90.00
_cell_angle_gamma 90.00
_symmetry_space_group_name_H-M 'I -4 m 2'
_symmetry_Int_Tables_number 119
_symmetry_space_group_name_Hall 'I -4 -2'
loop_
_atom_site_label
_atom_site_type_symbol
_atom_site_fract_x
_atom_site_fract_y
_atom_site_fract_z
Y1 Y 0.0000 0.0000 0.0000
Si1 Si 0.0000 0.0000 0.5000
Si2 Si 0.0000 0.5000 0.7500
Mo1 Mo 0.0000 0.5000 0.2500
# * total energy: -7.574 eV per atom
# * magnetic moment: 0.0 Bohr magnetons per cell
# * formation energy from raw total energies: -53 meV per atom